# Ho3ZrCd4 PBE optimized geometry
data_Ho3ZrCd4
_chemical_formula_sum 'Ho3 Zr1 Cd4'
_cell_length_a 3.6903
_cell_length_b 3.6903
_cell_length_c 14.5731
_cell_angle_alpha 90.00
_cell_angle_beta 90.00
_cell_angle_gamma 90.00
_space_group_name_H-M_alt 'P 1'
_space_group_IT_number 1
loop_
_space_group_symop_operation_xyz
'x,y,z'
loop_
_atom_site_label
_atom_site_type_symbol
_atom_site_fract_x
_atom_site_fract_y
_atom_site_fract_z
Cd1 Cd 0.0000 0.0000 0.8871
Cd2 Cd 0.0000 0.0000 0.6296
Cd3 Cd 0.0000 0.0000 0.3704
Zr1 Zr 0.5000 0.5000 0.0000
Ho1 Ho 0.5000 0.5000 0.7588
Ho2 Ho 0.5000 0.5000 0.2412
Ho3 Ho 0.5000 0.5000 0.5000
Cd4 Cd 0.0000 0.0000 0.1129
# - calculated density (kg/m3) = 8666
# - density of states at the Fermi level (states/eV per cell) = 9.4
# - total energy (eV/atom) = -3.478
# - magnetization (μB per formula unit) = 0.0